[1]
Crystalline K2TcHg at its relaxed geometry. Source: Alexandria, functional PBE.

Geometry as POSCAR:
```
K2TcHg
1.0
6.776 -0.001 0.000
6.043 3.065 0.000
1.850 0.442 6.107
Hg K Tc
1 2 1
Direct
0.793 0.793 0.768
0.223 0.223 0.311
0.029 0.029 0.937
0.455 0.455 0.483
```

## Properties
E: -2.40 eV/atom
Spin magnetization: 0.70 μB/atom
Formation enthalpy at 0 K: 0.820 eV/atom

***

[2]
Crystalline K2TcHg at its relaxed geometry. Source: Alexandria, functional PBE.

Geometry as POSCAR:
```
K2TcHg
1.0
3.317 0.000 0.000
0.000 4.311 0.000
0.000 0.000 9.914
K Tc Hg
2 1 1
Direct
0.000 0.000 0.919
0.500 0.500 0.327
0.000 0.000 0.590
0.500 0.500 0.664
```

## Properties
E: -2.51 eV/atom
Spin magnetization: 0.65 μB/atom
Formation enthalpy at 0 K: 0.708 eV/atom